Record 1
! NaOsN2, relaxed, DFT PBE; values from VASP
&SYSTEM
  ibrav = 0, nat = 4, ntyp = 3
/
ATOMIC_SPECIES
Na 22.99 Na.upf
Os 190.23 Os.upf
N 14.01 N.upf
CELL_PARAMETERS angstrom
0.000 2.652 2.652
2.652 0.000 2.652
2.652 2.652 0.000
ATOMIC_POSITIONS crystal
Na 0.000 0.000 0.000
Os 0.500 0.500 0.500
N 0.250 0.250 0.250
N 0.750 0.750 0.750
! symmetry = Fm-3m (225)
! ΔE to the lowest computed polymorph = 3.73 eV/f.u.

=====

Record 2
! NaOsN2, relaxed, DFT PBE; values from VASP
&SYSTEM
  ibrav = 0, nat = 8, ntyp = 3
/
ATOMIC_SPECIES
Na 22.99 Na.upf
Os 190.23 Os.upf
N 14.01 N.upf
CELL_PARAMETERS angstrom
-2.558 2.558 4.614
2.558 -2.558 4.614
2.558 2.558 -4.614
ATOMIC_POSITIONS crystal
Na 0.000 0.000 0.000
Na 0.750 0.250 0.500
Os 0.250 0.750 0.500
Os 0.500 0.500 0.000
N 0.221 0.625 0.096
N 0.375 0.471 0.596
N 0.529 0.125 0.904
N 0.875 0.779 0.404
! symmetry = I-42d (122)
! ΔE to the lowest computed polymorph = 0.00 eV/f.u.

=====

Record 3
! Na6OsN4, relaxed, DFT PBE; values from VASP
&SYSTEM
  ibrav = 0, nat = 22, ntyp = 3
/
ATOMIC_SPECIES
Na 22.99 Na.upf
Os 190.23 Os.upf
N 14.01 N.upf
CELL_PARAMETERS angstrom
7.655 0.000 0.000
0.000 7.655 0.000
0.000 0.000 6.108
ATOMIC_POSITIONS crystal
Na 0.042 0.542 0.250
Na 0.042 0.958 0.250
Na 0.250 0.250 0.045
Na 0.250 0.250 0.545
Na 0.458 0.542 0.250
Na 0.458 0.958 0.250
Na 0.542 0.042 0.750
Na 0.542 0.458 0.750
Na 0.750 0.750 0.455
Na 0.750 0.750 0.955
Na 0.958 0.042 0.750
Na 0.958 0.458 0.750
Os 0.250 0.750 0.750
Os 0.750 0.250 0.250
N 0.046 0.750 0.584
N 0.250 0.546 0.916
N 0.250 0.954 0.916
N 0.454 0.750 0.584
N 0.546 0.250 0.416
N 0.750 0.046 0.084
N 0.750 0.454 0.084
N 0.954 0.250 0.416
! symmetry = P4_2/nmc (137)
! DFT total energy = -4.721 eV per atom

=====

In μB/f.u., the total moment values for the records above are, in order, 0.00; 0.00; 0.00.